Record 1
# GGA-PBE Mn3GeRu, optimized geometry
data_Mn3GeRu
_chemical_formula_sum 'Mn3 Ge1 Ru1'
_symmetry_space_group_name_H-M 'P 1'
_symmetry_Int_Tables_number 1
_symmetry_space_group_name_Hall 'P 1'
_cell_length_a 4.879
_cell_length_b 4.879
_cell_length_c 4.879
_cell_angle_alpha 90.00
_cell_angle_beta 90.00
_cell_angle_gamma 90.00
loop_
_atom_site_label
_atom_site_type_symbol
_atom_site_fract_x
_atom_site_fract_y
_atom_site_fract_z
_atom_site_occupancy
Mn1 Mn 0.000 0.000 0.500 1
Mn2 Mn 0.000 0.500 0.000 1
Mn3 Mn 0.500 0.000 0.000 1
Ge1 Ge 0.500 0.500 0.500 1
Ru1 Ru 0.000 0.000 0.000 1
# Offset from the most stable computed form, meV/atom: 0
# Formation energy, kJ/mol of formula units: 560
# Total energy, eV/cell: -35.60
# Spin magnetization, Bohr magnetons per cell: 12.5

***

Record 2
# GGA-PBE MnSiGeRu2, optimized geometry
data_MnSiGeRu2
_chemical_formula_sum 'Mn1 Si1 Ge1 Ru2'
_symmetry_space_group_name_H-M 'P 1'
_symmetry_Int_Tables_number 1
_symmetry_space_group_name_Hall 'P 1'
_cell_length_a 4.464
_cell_length_b 4.464
_cell_length_c 4.417
_cell_angle_alpha 90.00
_cell_angle_beta 90.00
_cell_angle_gamma 90.00
loop_
_atom_site_label
_atom_site_type_symbol
_atom_site_fract_x
_atom_site_fract_y
_atom_site_fract_z
_atom_site_occupancy
Mn1 Mn 0.000 0.000 0.000 1
Si1 Si 0.500 0.500 0.500 1
Ge1 Ge 0.000 0.000 0.500 1
Ru1 Ru 0.000 0.500 0.000 1
Ru2 Ru 0.500 0.000 0.000 1
# Offset from the most stable computed form, meV/atom: 0
# Total energy, eV/cell: -32.44
# Energy relative to the elements, uncorrected, eV/atom: 1.0645
# Spin magnetization, Bohr magnetons per cell: 0.0

***

Record 3
# GGA-PBE MnSiGeRu2, optimized geometry
data_MnSiGeRu2
_chemical_formula_sum 'Mn1 Si1 Ge1 Ru2'
_symmetry_space_group_name_H-M 'P 1'
_symmetry_Int_Tables_number 1
_symmetry_space_group_name_Hall 'P 1'
_cell_length_a 4.334
_cell_length_b 4.334
_cell_length_c 4.568
_cell_angle_alpha 90.00
_cell_angle_beta 90.00
_cell_angle_gamma 90.00
loop_
_atom_site_label
_atom_site_type_symbol
_atom_site_fract_x
_atom_site_fract_y
_atom_site_fract_z
_atom_site_occupancy
Mn1 Mn 0.000 0.000 0.000 1
Si1 Si 0.500 0.500 0.500 1
Ge1 Ge 0.500 0.500 0.000 1
Ru1 Ru 0.000 0.500 0.500 1
Ru2 Ru 0.500 0.000 0.500 1
# Offset from the most stable computed form, meV/atom: 169
# Total energy, eV/cell: -31.59
# Energy relative to the elements, uncorrected, eV/atom: 1.2339
# Spin magnetization, Bohr magnetons per cell: 0.3

***

Record 4
# GGA-PBE TbMnGe2Ru, optimized geometry
data_TbMnGe2Ru
_chemical_formula_sum 'Tb1 Mn1 Ge2 Ru1'
_symmetry_space_group_name_H-M 'P 1'
_symmetry_Int_Tables_number 1
_symmetry_space_group_name_Hall 'P 1'
_cell_length_a 6.070
_cell_length_b 6.070
_cell_length_c 6.070
_cell_angle_alpha 141.03
_cell_angle_beta 141.03
_cell_angle_gamma 56.30
loop_
_atom_site_label
_atom_site_type_symbol
_atom_site_fract_x
_atom_site_fract_y
_atom_site_fract_z
_atom_site_occupancy
Tb1 Tb 0.000 0.000 0.000 1
Mn1 Mn 0.750 0.250 0.500 1
Ge1 Ge 0.381 0.381 0.000 1
Ge2 Ge 0.619 0.619 0.000 1
Ru1 Ru 0.250 0.750 0.500 1
# Formation energy, kJ/mol of formula units: -285
# Total energy, eV/cell: -35.26
# Spin magnetization, Bohr magnetons per cell: 2.7

***

Record 5
# GGA-PBE MnTcGeRu2, optimized geometry
data_MnTcGeRu2
_chemical_formula_sum 'Mn1 Tc1 Ge1 Ru2'
_symmetry_space_group_name_H-M 'P 1'
_symmetry_Int_Tables_number 1
_symmetry_space_group_name_Hall 'P 1'
_cell_length_a 4.490
_cell_length_b 4.490
_cell_length_c 4.486
_cell_angle_alpha 90.00
_cell_angle_beta 90.00
_cell_angle_gamma 90.00
loop_
_atom_site_label
_atom_site_type_symbol
_atom_site_fract_x
_atom_site_fract_y
_atom_site_fract_z
_atom_site_occupancy
Mn1 Mn 0.000 0.000 0.000 1
Tc1 Tc 0.000 0.000 0.500 1
Ge1 Ge 0.500 0.500 0.500 1
Ru1 Ru 0.000 0.500 0.000 1
Ru2 Ru 0.500 0.000 0.000 1
# Formation energy, kJ/mol of formula units: 590
# Total energy, eV/cell: -36.59
# Spin magnetization, Bohr magnetons per cell: 0.7

***

Record 6
# GGA-PBE TmMnGe2Ru, optimized geometry
data_TmMnGe2Ru
_chemical_formula_sum 'Tm1 Mn1 Ge2 Ru1'
_symmetry_space_group_name_H-M 'P 1'
_symmetry_Int_Tables_number 1
_symmetry_space_group_name_Hall 'P 1'
_cell_length_a 6.028
_cell_length_b 6.028
_cell_length_c 6.028
_cell_angle_alpha 141.02
_cell_angle_beta 141.02
_cell_angle_gamma 56.31
loop_
_atom_site_label
_atom_site_type_symbol
_atom_site_fract_x
_atom_site_fract_y
_atom_site_fract_z
_atom_site_occupancy
Tm1 Tm 0.000 0.000 0.000 1
Mn1 Mn 0.250 0.750 0.500 1
Ge1 Ge 0.382 0.382 0.000 1
Ge2 Ge 0.618 0.618 0.000 1
Ru1 Ru 0.750 0.250 0.500 1
# Formation energy, kJ/mol of formula units: -271
# Total energy, eV/cell: -34.96
# Spin magnetization, Bohr magnetons per cell: 2.7

***

Record 7
# GGA-PBE UMnGeRu, optimized geometry
data_UMnGeRu
_chemical_formula_sum 'U1 Mn1 Ge1 Ru1'
_symmetry_space_group_name_H-M 'P 1'
_symmetry_Int_Tables_number 1
_symmetry_space_group_name_Hall 'P 1'
_cell_length_a 4.498
_cell_length_b 4.498
_cell_length_c 4.498
_cell_angle_alpha 60.00
_cell_angle_beta 60.00
_cell_angle_gamma 60.00
loop_
_atom_site_label
_atom_site_type_symbol
_atom_site_fract_x
_atom_site_fract_y
_atom_site_fract_z
_atom_site_occupancy
U1 U 0.000 0.000 0.000 1
Mn1 Mn 0.750 0.750 0.750 1
Ge1 Ge 0.500 0.500 0.500 1
Ru1 Ru 0.250 0.250 0.250 1
# Formation energy, kJ/mol of formula units: -45
# Total energy, eV/cell: -34.82
# Spin magnetization, Bohr magnetons per cell: 1.1

***

Record 8
# GGA-PBE MnGeRuW, optimized geometry
data_MnGeRuW
_chemical_formula_sum 'Mn1 Ge1 Ru1 W1'
_symmetry_space_group_name_H-M 'P 1'
_symmetry_Int_Tables_number 1
_symmetry_space_group_name_Hall 'P 1'
_cell_length_a 4.303
_cell_length_b 4.303
_cell_length_c 4.303
_cell_angle_alpha 60.00
_cell_angle_beta 60.00
_cell_angle_gamma 60.00
loop_
_atom_site_label
_atom_site_type_symbol
_atom_site_fract_x
_atom_site_fract_y
_atom_site_fract_z
_atom_site_occupancy
Mn1 Mn 0.000 0.000 0.000 1
Ge1 Ge 0.500 0.500 0.500 1
Ru1 Ru 0.750 0.750 0.750 1
W1 W 0.250 0.250 0.250 1
# Formation energy, kJ/mol of formula units: 8
# Total energy, eV/cell: -35.93
# Spin magnetization, Bohr magnetons per cell: 2.3

***

Record 9
# GGA-PBE YMnGeRu2, optimized geometry
data_YMnGeRu2
_chemical_formula_sum 'Y1 Mn1 Ge1 Ru2'
_symmetry_space_group_name_H-M 'P 1'
_symmetry_Int_Tables_number 1
_symmetry_space_group_name_Hall 'P 1'
_cell_length_a 4.483
_cell_length_b 4.483
_cell_length_c 4.902
_cell_angle_alpha 90.00
_cell_angle_beta 90.00
_cell_angle_gamma 90.00
loop_
_atom_site_label
_atom_site_type_symbol
_atom_site_fract_x
_atom_site_fract_y
_atom_site_fract_z
_atom_site_occupancy
Y1 Y 0.000 0.000 0.000 1
Mn1 Mn 0.000 0.000 0.500 1
Ge1 Ge 0.500 0.500 0.000 1
Ru1 Ru 0.000 0.500 0.500 1
Ru2 Ru 0.500 0.000 0.500 1
# Formation energy, kJ/mol of formula units: 327
# Total energy, eV/cell: -35.41
# Spin magnetization, Bohr magnetons per cell: 0.0

***

Record 10
# GGA-PBE YMnGe2Ru, optimized geometry
data_YMnGe2Ru
_chemical_formula_sum 'Y1 Mn1 Ge2 Ru1'
_symmetry_space_group_name_H-M 'P 1'
_symmetry_Int_Tables_number 1
_symmetry_space_group_name_Hall 'P 1'
_cell_length_a 6.069
_cell_length_b 6.069
_cell_length_c 6.069
_cell_angle_alpha 141.06
_cell_angle_beta 141.06
_cell_angle_gamma 56.25
loop_
_atom_site_label
_atom_site_type_symbol
_atom_site_fract_x
_atom_site_fract_y
_atom_site_fract_z
_atom_site_occupancy
Y1 Y 0.000 0.000 0.000 1
Mn1 Mn 0.750 0.250 0.500 1
Ge1 Ge 0.381 0.381 0.000 1
Ge2 Ge 0.619 0.619 0.000 1
Ru1 Ru 0.250 0.750 0.500 1
# Formation energy, kJ/mol of formula units: -284
# Total energy, eV/cell: -37.09
# Spin magnetization, Bohr magnetons per cell: 2.7

***

Record 11
# GGA-PBE ZrMnGeRu2, optimized geometry
data_ZrMnGeRu2
_chemical_formula_sum 'Zr1 Mn1 Ge1 Ru2'
_symmetry_space_group_name_H-M 'P 1'
_symmetry_Int_Tables_number 1
_symmetry_space_group_name_Hall 'P 1'
_cell_length_a 4.535
_cell_length_b 4.535
_cell_length_c 4.368
_cell_angle_alpha 90.00
_cell_angle_beta 90.00
_cell_angle_gamma 90.00
loop_
_atom_site_label
_atom_site_type_symbol
_atom_site_fract_x
_atom_site_fract_y
_atom_site_fract_z
_atom_site_occupancy
Zr1 Zr 0.000 0.000 0.000 1
Mn1 Mn 0.500 0.500 0.000 1
Ge1 Ge 0.500 0.500 0.500 1
Ru1 Ru 0.000 0.500 0.500 1
Ru2 Ru 0.500 0.000 0.500 1
# Formation energy, kJ/mol of formula units: 204
# Total energy, eV/cell: -38.77
# Spin magnetization, Bohr magnetons per cell: 3.0

***

Record 12
# GGA-PBE Mn3GeS7, optimized geometry
data_Mn3GeS7
_chemical_formula_sum 'Mn3 Ge1 S7'
_symmetry_space_group_name_H-M 'P 1'
_symmetry_Int_Tables_number 1
_symmetry_space_group_name_Hall 'P 1'
_cell_length_a 5.988
_cell_length_b 6.860
_cell_length_c 6.978
_cell_angle_alpha 104.69
_cell_angle_beta 115.21
_cell_angle_gamma 91.81
loop_
_atom_site_label
_atom_site_type_symbol
_atom_site_fract_x
_atom_site_fract_y
_atom_site_fract_z
_atom_site_occupancy
Mn1 Mn 0.000 0.000 0.000 1
Mn2 Mn 0.046 0.504 0.017 1
Mn3 Mn 0.544 0.730 0.999 1
Ge1 Ge 0.540 0.273 0.996 1
S1 S 0.085 0.199 0.807 1
S2 S 0.112 0.716 0.820 1
S3 S 0.476 0.575 0.232 1
S4 S 0.586 0.936 0.800 1
S5 S 0.607 0.438 0.774 1
S6 S 0.981 0.814 0.227 1
S7 S 0.990 0.304 0.229 1
# Total energy, eV/cell: -65.65
# Energy relative to the elements, uncorrected, eV/atom: -0.4214
# Spin magnetization, Bohr magnetons per cell: 9.0

***

Please write out number 11 again, unchanged.
# GGA-PBE ZrMnGeRu2, optimized geometry
data_ZrMnGeRu2
_chemical_formula_sum 'Zr1 Mn1 Ge1 Ru2'
_symmetry_space_group_name_H-M 'P 1'
_symmetry_Int_Tables_number 1
_symmetry_space_group_name_Hall 'P 1'
_cell_length_a 4.535
_cell_length_b 4.535
_cell_length_c 4.368
_cell_angle_alpha 90.00
_cell_angle_beta 90.00
_cell_angle_gamma 90.00
loop_
_atom_site_label
_atom_site_type_symbol
_atom_site_fract_x
_atom_site_fract_y
_atom_site_fract_z
_atom_site_occupancy
Zr1 Zr 0.000 0.000 0.000 1
Mn1 Mn 0.500 0.500 0.000 1
Ge1 Ge 0.500 0.500 0.500 1
Ru1 Ru 0.000 0.500 0.500 1
Ru2 Ru 0.500 0.000 0.500 1
# Formation energy, kJ/mol of formula units: 204
# Total energy, eV/cell: -38.77
# Spin magnetization, Bohr magnetons per cell: 3.0

***

Q: total energy of number 11 (ZrMnGeRu2)?
A: -38.77 eV/cell